# 1
Entry from Alexandria via LeMat-Bulk: crystalline Zn3Ir2 at its relaxed geometry (PBE).

a = 4.2648 Å, b = 4.2648 Å, c = 5.1417 Å
α = 65.50°, β = 65.50°, γ = 60.00°
With the nearest neighbours (Å) after each atom.
Element x y z (fractional)
Zn 0.0000 0.0000 0.0000  6 Ir 2.62, 2 Zn 2.68
Zn 0.8019 0.8019 0.5942  4 Zn 2.60-2.68, 4 Ir 2.63-2.74
Zn 0.1981 0.1981 0.4058  4 Zn 2.60-2.68, 4 Ir 2.63-2.74
Ir 0.5996 0.5996 0.2012  7 Zn 2.62-2.74, 1 Ir 2.70
Ir 0.4004 0.4004 0.7988  7 Zn 2.62-2.74, 1 Ir 2.70

## Properties
The calculation puts the density of states at the Fermi level at 0.95 states/eV per atom. Its total energy is -4.365 eV per atom.


# 2
Entry from Alexandria via LeMat-Bulk: crystalline Zn5Ir at its relaxed geometry (PBE).

a = 2.8833 Å, b = 5.1278 Å, c = 6.3997 Å
α = 75.06°, β = 90.00°, γ = 106.33°
With the nearest neighbours (Å) after each atom.
Element x y z (fractional)
Zn 0.0537 0.1075 0.3890  1 Ir 2.67, 11 Zn 2.69-2.88
Zn 0.6667 0.3333 0.6663  10 Zn 2.62-2.88, 2 Ir 2.74
Zn 0.3923 0.7847 0.7339  10 Zn 2.62-2.88, 2 Ir 2.66
Zn 0.3387 0.6774 0.3221  2 Ir 2.65, 10 Zn 2.69-2.88
Zn 0.7164 0.4328 0.0528  9 Zn 2.65-2.88, 3 Ir 2.67-2.71
Ir 0.9988 0.9976 0.0025  10 Zn 2.65-2.74, 2 Ir 2.88

## Properties
The calculation puts the density of states at the Fermi level at 0.33 states/eV per atom. Its total energy is -2.638 eV per atom.


# 3
Entry from Alexandria via LeMat-Bulk: crystalline ZnIr at its relaxed geometry (PBE).

a = 7.7242 Å, b = 7.7242 Å, c = 7.7242 Å
α = 90.00°, β = 90.00°, γ = 90.00°
With the nearest neighbours (Å) after each atom.
Element x y z (fractional)
Ir 0.1184 0.1184 0.8816  4 Zn 2.45-2.60, 3 Ir 2.59
Ir 0.8816 0.8816 0.8816  4 Zn 2.45-2.60, 3 Ir 2.59
Ir 0.6184 0.3816 0.6184  4 Zn 2.45-2.60, 3 Ir 2.59
Ir 0.6184 0.6184 0.3816  4 Zn 2.45-2.60, 3 Ir 2.59
Ir 0.8816 0.1184 0.1184  4 Zn 2.45-2.60, 3 Ir 2.59
Ir 0.3816 0.6184 0.6184  4 Zn 2.45-2.60, 3 Ir 2.59
Ir 0.1184 0.8816 0.1184  4 Zn 2.45-2.60, 3 Ir 2.59
Ir 0.3816 0.3816 0.3816  4 Zn 2.45-2.60, 3 Ir 2.59
Zn 0.8014 0.1986 0.8014  4 Ir 2.45-2.60
Zn 0.3014 0.3014 0.6986  4 Ir 2.45-2.60
Zn 0.6986 0.6986 0.6986  4 Ir 2.45-2.60
Zn 0.1986 0.8014 0.8014  4 Ir 2.45-2.60
Zn 0.6986 0.3014 0.3014  4 Ir 2.45-2.60
Zn 0.8014 0.8014 0.1986  4 Ir 2.45-2.60
Zn 0.3014 0.6986 0.3014  4 Ir 2.45-2.60
Zn 0.1986 0.1986 0.1986  4 Ir 2.45-2.60

## Properties
The calculation puts the density of states at the Fermi level at 1.14 states/eV per atom. Its total energy is -4.111 eV per atom.


# 4
Entry from Alexandria via LeMat-Bulk: crystalline Zr5Zn4Ir at its relaxed geometry (PBE).

a = 3.3546 Å, b = 3.3546 Å, c = 16.4953 Å
α = 90.00°, β = 90.00°, γ = 90.00°
With the nearest neighbours (Å) after each atom.
Element x y z (fractional)
Zn 0.0000 0.0000 0.8009  8 Zr 2.88-2.91
Zn 0.0000 0.0000 0.1991  8 Zr 2.88-2.91
Zn 0.0000 0.0000 0.6003  8 Zr 2.89-2.90
Zn 0.0000 0.0000 0.3997  8 Zr 2.89-2.90
Zr 0.5000 0.5000 0.0968  4 Ir 2.86, 4 Zn 2.91, 1 Zr 3.19
Zr 0.5000 0.5000 0.7013  8 Zn 2.88-2.90
Zr 0.5000 0.5000 0.2987  8 Zn 2.88-2.90
Zr 0.5000 0.5000 0.5000  8 Zn 2.89
Zr 0.5000 0.5000 0.9032  4 Ir 2.86, 4 Zn 2.91, 1 Zr 3.19
Ir 0.0000 0.0000 0.0000  8 Zr 2.86

## Properties
The calculation puts the density of states at the Fermi level at 0.48 states/eV per atom. Its total energy is -6.055 eV per atom.


# 5
Entry from Alexandria via LeMat-Bulk: crystalline Zr4Zn3Ir at its relaxed geometry (PBE).

a = 3.6061 Å, b = 4.5354 Å, c = 9.0344 Å
α = 90.00°, β = 90.00°, γ = 90.00°
With the nearest neighbours (Å) after each atom.
Element x y z (fractional)
Zn 0.5000 0.0000 0.2519  8 Zr 2.88-2.90, 2 Zn 3.19, 2 Ir 3.21
Zn 0.5000 0.0000 0.7481  8 Zr 2.88-2.90, 2 Zn 3.19, 2 Ir 3.21
Zn 0.5000 0.5000 0.5000  8 Zr 2.90-2.93, 4 Zn 3.19
Zr 0.0000 0.5000 0.2440  2 Ir 2.85, 6 Zn 2.90-2.93, 2 Zr 3.16
Zr 0.0000 0.5000 0.7560  2 Ir 2.85, 6 Zn 2.90-2.93, 2 Zr 3.16
Zr 0.0000 0.0000 0.0000  4 Ir 2.90, 4 Zn 2.90, 4 Zr 3.16
Zr 0.0000 0.0000 0.5000  8 Zn 2.88-2.90
Ir 0.5000 0.5000 0.0000  8 Zr 2.85-2.90

## Properties
The calculation puts the density of states at the Fermi level at 0.70 states/eV per atom. Its total energy is -6.270 eV per atom.


# 6
Entry from Alexandria via LeMat-Bulk: crystalline Zr3ZnIr2 at its relaxed geometry (PBE).

a = 3.5015 Å, b = 4.5679 Å, c = 7.2243 Å
α = 108.43°, β = 90.00°, γ = 90.00°
With the nearest neighbours (Å) after each atom.
Element x y z (fractional)
Zr 0.5000 0.8308 0.6616  6 Ir 2.88, 2 Zn 2.91, 2 Zr 3.18
Zr 0.5000 0.1692 0.3384  6 Ir 2.88, 2 Zn 2.91, 2 Zr 3.18
Zr 0.5000 0.5000 0.0000  4 Ir 2.85, 4 Zn 2.88
Ir 0.0000 0.3357 0.6714  8 Zr 2.85-2.88
Ir 0.0000 0.6643 0.3286  8 Zr 2.85-2.88
Zn 0.0000 0.0000 0.0000  8 Zr 2.88-2.91, 4 Ir 3.21

## Properties
The calculation puts the density of states at the Fermi level at 0.61 states/eV per atom. Its total energy is -8.072 eV per atom.


# 7
Entry from Alexandria via LeMat-Bulk: crystalline Zr11Zn9Ir4 at its relaxed geometry (PBE).

a = 3.3603 Å, b = 12.0954 Å, c = 12.0954 Å
α = 112.97°, β = 90.00°, γ = 90.00°
With the nearest neighbours (Å) after each atom.
Element x y z (fractional)
Ir 0.5000 0.4471 0.2439  6 Zr 2.65-2.75, 3 Zn 2.83-2.91
Ir 0.5000 0.7561 0.5529  6 Zr 2.65-2.75, 3 Zn 2.83-2.91
Ir 0.5000 0.2439 0.4471  6 Zr 2.65-2.75, 3 Zn 2.83-2.91
Ir 0.5000 0.5529 0.7561  6 Zr 2.65-2.75, 3 Zn 2.83-2.91
Zr 0.0000 0.2946 0.2946  4 Ir 2.74, 4 Zn 3.05
Zr 0.0000 0.4080 0.0626  2 Ir 2.65, 2 Zn 2.94
Zr 0.0000 0.9374 0.5920  2 Ir 2.65, 2 Zn 2.94
Zr 0.0000 0.3644 0.6356  4 Ir 2.75, 4 Zn 3.01
Zr 0.0000 0.0626 0.4080  2 Ir 2.65, 2 Zn 2.94
Zr 0.0000 0.5920 0.9374  2 Ir 2.65, 2 Zn 2.94
Zr 0.0000 0.6356 0.3644  4 Ir 2.75, 4 Zn 3.01
Zr 0.0000 0.8363 0.1637  8 Zn 2.95-3.10, 3 Zr 3.15-3.30
Zr 0.0000 0.0000 0.0000  8 Zn 2.88
Zr 0.0000 0.1637 0.8363  8 Zn 2.95-3.10, 3 Zr 3.15-3.30
Zr 0.0000 0.7054 0.7054  4 Ir 2.74, 4 Zn 3.05
Zn 0.5000 0.2095 0.0658  1 Ir 2.84, 8 Zr 2.88-3.10, 1 Zn 2.90
Zn 0.5000 0.0658 0.2095  1 Ir 2.84, 8 Zr 2.88-3.10, 1 Zn 2.90
Zn 0.5000 0.1571 0.6334  1 Zn 2.80, 1 Ir 2.83, 8 Zr 2.95-3.02
Zn 0.5000 0.9342 0.7905  1 Ir 2.84, 8 Zr 2.88-3.10, 1 Zn 2.90
Zn 0.5000 0.8429 0.3666  1 Zn 2.80, 1 Ir 2.83, 8 Zr 2.95-3.02
Zn 0.5000 0.3666 0.8429  1 Zn 2.80, 1 Ir 2.83, 8 Zr 2.95-3.02
Zn 0.5000 0.7905 0.9342  1 Ir 2.84, 8 Zr 2.88-3.10, 1 Zn 2.90
Zn 0.5000 0.6334 0.1571  1 Zn 2.80, 1 Ir 2.83, 8 Zr 2.95-3.02
Zn 0.5000 0.5000 0.5000  4 Ir 2.91, 8 Zr 3.21-3.22

## Properties
The calculation puts the density of states at the Fermi level at 0.73 states/eV per atom. Its total energy is -6.340 eV per atom.


# 8
Entry from Alexandria via LeMat-Bulk: crystalline Zr4ZnIr at its relaxed geometry (PBE).

a = 4.5546 Å, b = 4.5545 Å, c = 6.5187 Å
α = 89.99°, β = 89.99°, γ = 90.00°
With the nearest neighbours (Å) after each atom.
Element x y z (fractional)
Zr 0.5014 0.9974 0.7428  2 Ir 2.78, 2 Zn 2.82
Zr 0.0012 0.4972 0.2534  2 Ir 2.78, 2 Zn 2.82
Zr 0.5013 0.9971 0.2534  2 Ir 2.78, 2 Zn 2.82
Zr 0.0014 0.4974 0.7429  2 Ir 2.78, 2 Zn 2.82
Ir 0.0013 0.9973 0.4981  8 Zr 2.78
Zn 0.5013 0.4973 0.9982  8 Zr 2.82

## Properties
The calculation puts the density of states at the Fermi level at 0.85 states/eV per atom. Its total energy is -7.558 eV per atom.


# 9
Entry from Alexandria via LeMat-Bulk: crystalline ZrZnIr2 at its relaxed geometry (PBE).

a = 3.1367 Å, b = 3.4535 Å, c = 5.9473 Å
α = 90.00°, β = 90.00°, γ = 90.00°
With the nearest neighbours (Å) after each atom.
Element x y z (fractional)
Ir 0.0000 0.0000 0.0135  4 Zn 2.72, 4 Zr 2.81, 1 Ir 2.81
Ir 0.0000 0.0000 0.4865  4 Zn 2.72, 4 Zr 2.81, 1 Ir 2.81
Zn 0.5000 0.5000 0.2500  8 Ir 2.72, 2 Zr 2.97
Zr 0.5000 0.5000 0.7500  8 Ir 2.81, 2 Zn 2.97, 2 Zr 3.14

## Properties
The calculation puts the density of states at the Fermi level at 0.30 states/eV per atom. Its total energy is -7.508 eV per atom.


# 10
Entry from Alexandria via LeMat-Bulk: crystalline Zr2ZnIr2 at its relaxed geometry (PBE).

a = 7.6384 Å, b = 7.6384 Å, c = 3.2030 Å
α = 90.00°, β = 90.00°, γ = 90.00°
With the nearest neighbours (Å) after each atom.
Element x y z (fractional)
Zr 0.1633 0.6633 0.5000  6 Ir 2.70-2.80
Zr 0.3367 0.1633 0.5000  6 Ir 2.70-2.80
Zr 0.8367 0.3367 0.5000  6 Ir 2.70-2.80
Zr 0.6633 0.8367 0.5000  6 Ir 2.70-2.80
Ir 0.3641 0.8641 0.0000  6 Zr 2.70-2.80, 1 Ir 2.94, 2 Zn 2.97
Ir 0.8641 0.6359 0.0000  6 Zr 2.70-2.80, 1 Ir 2.94, 2 Zn 2.97
Ir 0.6359 0.1359 0.0000  6 Zr 2.70-2.80, 1 Ir 2.94, 2 Zn 2.97
Ir 0.1359 0.3641 0.0000  6 Zr 2.70-2.80, 1 Ir 2.94, 2 Zn 2.97
Zn 0.5000 0.5000 0.0000  4 Ir 2.97, 2 Zn 3.20, 8 Zr 3.28
Zn 0.0000 0.0000 0.0000  4 Ir 2.97, 2 Zn 3.20, 8 Zr 3.28

## Properties
The calculation puts the density of states at the Fermi level at 0.93 states/eV per atom. Its total energy is -7.813 eV per atom.


# 11
Entry from Alexandria via LeMat-Bulk: crystalline Zr6ZnIr5 at its relaxed geometry (PBE).

a = 4.6344 Å, b = 6.5819 Å, c = 8.2880 Å
α = 113.40°, β = 106.24°, γ = 90.00°
With the nearest neighbours (Å) after each atom.
Element x y z (fractional)
Zr 0.8299 0.5811 0.6599  7 Ir 2.85-3.16, 1 Zn 2.96
Zr 0.1701 0.4189 0.3401  7 Ir 2.85-3.16, 1 Zn 2.96
Zr 0.1701 0.9213 0.3401  7 Ir 2.85-3.16, 1 Zn 2.96
Zr 0.5000 0.7429 0.0000  6 Ir 2.68-2.91, 2 Zn 2.87
Zr 0.8299 0.0787 0.6599  7 Ir 2.85-3.16, 1 Zn 2.96
Zr 0.5000 0.2571 0.0000  6 Ir 2.68-2.91, 2 Zn 2.87
Ir 0.6677 0.6677 0.3354  8 Zr 2.85-2.91
Ir 0.0000 0.5000 0.0000  8 Zr 2.82-2.97
Ir 0.3562 0.8562 0.7123  6 Zr 2.68-2.86
Ir 0.6438 0.1438 0.2877  6 Zr 2.68-2.86
Ir 0.3323 0.3323 0.6646  8 Zr 2.85-2.91
Zn 0.0000 0.0000 0.0000  8 Zr 2.87-2.96, 4 Ir 3.12

## Properties
The calculation puts the density of states at the Fermi level at 0.81 states/eV per atom. Its total energy is -8.774 eV per atom.


# 12
Entry from Alexandria via LeMat-Bulk: crystalline Zr2Zn2Ir3 at its relaxed geometry (PBE).

a = 4.6036 Å, b = 4.6001 Å, c = 7.6436 Å
α = 90.06°, β = 117.42°, γ = 119.70°
With the nearest neighbours (Å) after each atom.
Element x y z (fractional)
Zr 0.8370 0.4186 0.1688  7 Ir 2.72-2.88, 2 Zn 3.03-3.04
Zr 0.1630 0.5814 0.8312  7 Ir 2.72-2.88, 2 Zn 3.03-3.04
Zn 0.6021 0.8012 0.6010  5 Ir 2.59-2.83, 2 Zn 2.64-2.65
Zn 0.3979 0.1988 0.3990  5 Ir 2.59-2.83, 2 Zn 2.64-2.65
Ir 0.4027 0.2006 0.7401  4 Zn 2.60-2.83, 4 Zr 2.72-2.78
Ir 0.5973 0.7994 0.2599  4 Zn 2.60-2.83, 4 Zr 2.72-2.78
Ir 0.0000 0.0000 0.0000  2 Zn 2.59, 6 Zr 2.87-2.88

## Properties
The calculation puts the density of states at the Fermi level at 0.41 states/eV per atom. Its total energy is -7.196 eV per atom.